Record 1
# PBE-GGA Ba2CuRh, optimized geometry
# E above lowest polymorph	0.93	eV/f.u.
# N(E_F)	2.1	states/eV/f.u.
# calculated density	6.3	g/cm3
# energy of formation from the pure elements	0.043	eV/atom
data_Ba2CuRh
_chemical_formula_sum 'Ba2 Cu1 Rh1'
_symmetry_space_group_name_H-M 'P 4/m m m'
_symmetry_Int_Tables_number 123
_symmetry_space_group_name_Hall '-P 4 2'
_cell_length_a 5.520
_cell_length_b 5.520
_cell_length_c 3.810
_cell_angle_alpha 90.00
_cell_angle_beta 90.00
_cell_angle_gamma 90.00
loop_
_atom_site_label
_atom_site_type_symbol
_atom_site_fract_x
_atom_site_fract_y
_atom_site_fract_z
Ba1 Ba 0.000 0.500 0.000
Cu1 Cu 0.000 0.000 0.500
Rh1 Rh 0.500 0.500 0.500


Record 2
# PBE-GGA Ba2CuRh2, optimized geometry
# E above lowest polymorph	0.00	eV/f.u.
# N(E_F)	5.9	states/eV/f.u.
# calculated density	7.3	g/cm3
# energy of formation from the pure elements	-0.106	eV/atom
data_Ba2CuRh2
_chemical_formula_sum 'Ba4 Cu2 Rh4'
_symmetry_space_group_name_H-M 'I m m m'
_symmetry_Int_Tables_number 71
_symmetry_space_group_name_Hall '-I 2 2'
_cell_length_a 4.515
_cell_length_b 5.553
_cell_length_c 9.940
_cell_angle_alpha 90.00
_cell_angle_beta 90.00
_cell_angle_gamma 90.00
loop_
_atom_site_label
_atom_site_type_symbol
_atom_site_fract_x
_atom_site_fract_y
_atom_site_fract_z
Ba1 Ba 0.000 0.000 0.192
Cu1 Cu 0.000 0.500 0.000
Rh1 Rh 0.000 0.248 0.500


Record 3
# PBE-GGA BaCu2Rh, optimized geometry
# E above lowest polymorph	2.06	eV/f.u.
# N(E_F)	3.9	states/eV/f.u.
# calculated density	7.6	g/cm3
# energy of formation from the pure elements	0.414	eV/atom
data_BaCu2Rh
_chemical_formula_sum 'Ba4 Cu8 Rh4'
_symmetry_space_group_name_H-M 'F m -3 m'
_symmetry_Int_Tables_number 225
_symmetry_space_group_name_Hall '-F 4 2 3'
_cell_length_a 6.857
_cell_length_b 6.857
_cell_length_c 6.857
_cell_angle_alpha 90.00
_cell_angle_beta 90.00
_cell_angle_gamma 90.00
loop_
_atom_site_label
_atom_site_type_symbol
_atom_site_fract_x
_atom_site_fract_y
_atom_site_fract_z
Ba1 Ba 0.000 0.000 0.000
Cu1 Cu 0.250 0.250 0.250
Rh1 Rh 0.000 0.000 0.500


Record 4
# PBE-GGA BaCu2Rh, optimized geometry
# E above lowest polymorph	2.25	eV/f.u.
# N(E_F)	2.3	states/eV/f.u.
# calculated density	7.6	g/cm3
# energy of formation from the pure elements	0.461	eV/atom
data_BaCu2Rh
_chemical_formula_sum 'Ba4 Cu8 Rh4'
_symmetry_space_group_name_H-M 'F -4 3 m'
_symmetry_Int_Tables_number 216
_symmetry_space_group_name_Hall 'F -4 2 3'
_cell_length_a 6.851
_cell_length_b 6.851
_cell_length_c 6.851
_cell_angle_alpha 90.00
_cell_angle_beta 90.00
_cell_angle_gamma 90.00
loop_
_atom_site_label
_atom_site_type_symbol
_atom_site_fract_x
_atom_site_fract_y
_atom_site_fract_z
Ba1 Ba 0.000 0.000 0.000
Cu1 Cu 0.000 0.000 0.500
Cu2 Cu 0.250 0.250 0.750
Rh1 Rh 0.250 0.250 0.250


Record 5
# PBE-GGA Ba3CuRh, optimized geometry
# E above lowest polymorph	1.00	eV/f.u.
# N(E_F)	4.2	states/eV/f.u.
# calculated density	4.5	g/cm3
# energy of formation from the pure elements	0.097	eV/atom
data_Ba3CuRh
_chemical_formula_sum 'Ba3 Cu1 Rh1'
_symmetry_space_group_name_H-M 'P m -3 m'
_symmetry_Int_Tables_number 221
_symmetry_space_group_name_Hall '-P 4 2 3'
_cell_length_a 5.985
_cell_length_b 5.985
_cell_length_c 5.985
_cell_angle_alpha 90.00
_cell_angle_beta 90.00
_cell_angle_gamma 90.00
loop_
_atom_site_label
_atom_site_type_symbol
_atom_site_fract_x
_atom_site_fract_y
_atom_site_fract_z
Ba1 Ba 0.000 0.000 0.500
Cu1 Cu 0.500 0.500 0.500
Rh1 Rh 0.000 0.000 0.000


Record 6
# PBE-GGA Ba4CuRh, optimized geometry
# E above lowest polymorph	6.15	eV/f.u.
# N(E_F)	6.3	states/eV/f.u.
# calculated density	5.2	g/cm3
# energy of formation from the pure elements	0.921	eV/atom
data_Ba4CuRh
_chemical_formula_sum 'Ba16 Cu4 Rh4'
_symmetry_space_group_name_H-M 'F -4 3 m'
_symmetry_Int_Tables_number 216
_symmetry_space_group_name_Hall 'F -4 2 3'
_cell_length_a 9.713
_cell_length_b 9.713
_cell_length_c 9.713
_cell_angle_alpha 90.00
_cell_angle_beta 90.00
_cell_angle_gamma 90.00
loop_
_atom_site_label
_atom_site_type_symbol
_atom_site_fract_x
_atom_site_fract_y
_atom_site_fract_z
Ba1 Ba 0.125 0.125 0.125
Cu1 Cu 0.250 0.250 0.750
Rh1 Rh 0.000 0.000 0.500


Record 7
# PBE-GGA Ba2CuRh, optimized geometry
# E above lowest polymorph	1.30	eV/f.u.
# N(E_F)	2.9	states/eV/f.u.
# calculated density	5.6	g/cm3
# energy of formation from the pure elements	0.135	eV/atom
data_Ba2CuRh
_chemical_formula_sum 'Ba2 Cu1 Rh1'
_symmetry_space_group_name_H-M 'P m m m'
_symmetry_Int_Tables_number 47
_cell_length_a 4.554
_cell_length_b 4.571
_cell_length_c 6.332
_cell_angle_alpha 90.00
_cell_angle_beta 90.00
_cell_angle_gamma 90.00
loop_
_symmetry_equiv_pos_as_xyz
'x,y,z'
'-x,-y,-z'
'-x,-y,z'
'x,y,-z'
'x,-y,-z'
'-x,y,z'
'-x,y,-z'
'x,-y,z'
loop_
_atom_site_label
_atom_site_type_symbol
_atom_site_fract_x
_atom_site_fract_y
_atom_site_fract_z
Ba1 Ba 0.000 0.000 0.000
Ba2 Ba 0.500 0.500 0.500
Cu1 Cu 0.000 0.000 0.500
Rh1 Rh 0.500 0.500 0.000


Record 8
# PBE-GGA Ba12Cu3Rh5, optimized geometry
# N(E_F)	13.4	states/eV/f.u.
# calculated density	4.7	g/cm3
# energy of formation from the pure elements	0.063	eV/atom
data_Ba12Cu3Rh5
_chemical_formula_sum 'Ba96 Cu24 Rh40'
_symmetry_space_group_name_H-M 'I a -3 d'
_symmetry_Int_Tables_number 230
_symmetry_space_group_name_Hall '-I 4bd 2c 3'
_cell_length_a 18.809
_cell_length_b 18.809
_cell_length_c 18.809
_cell_angle_alpha 90.00
_cell_angle_beta 90.00
_cell_angle_gamma 90.00
loop_
_atom_site_label
_atom_site_type_symbol
_atom_site_fract_x
_atom_site_fract_y
_atom_site_fract_z
Ba1 Ba 0.028 0.060 0.650
Cu1 Cu 0.000 0.250 0.125
Rh1 Rh 0.000 0.000 0.000
Rh2 Rh 0.000 0.250 0.375


> What is the calculated density in the first record?

6.3 g/cm3